(1)
Rb4Mg3F10: optimized geometry, PBE.

The calculation puts the density of states at the Fermi level at 0.00 states/eV per cell. The formation energy from raw total energies comes out at -3.1953 eV/atom. For the total moment, the calculation gives 0.17 Bohr magnetons per cell.

It has space group I4/mmm (No. 139), with a = 4.126 Å, b = 4.126 Å, c = 30.486 Å, α = 90.00°, β = 90.00° and γ = 90.00°. The distinct sites, in fractional coordinates, are Rb at (0.000, 0.000, 0.068), Rb at (0.000, 0.000, 0.203), Mg at (0.000, 0.000, 0.365), Mg at (0.000, 0.000, 0.500), F at (0.000, 0.000, 0.298), F at (0.000, 0.000, 0.432), F at (0.000, 0.500, 0.000) and F at (0.000, 0.500, 0.135).

***

(2)
Rb3Mg2F7: optimized geometry, PBE.

The calculation puts the density of states at the Fermi level at 0.00 states/eV per cell. The formation energy from raw total energies comes out at -3.1695 eV/atom. For the total moment, the calculation gives 0.15 Bohr magnetons per cell.

It has space group I4/mmm (No. 139), with a = 4.125 Å, b = 4.125 Å, c = 22.242 Å, α = 90.00°, β = 90.00° and γ = 90.00°. The distinct sites, in fractional coordinates, are Rb at (0.000, 0.000, 0.000), Rb at (0.000, 0.000, 0.186), Mg at (0.000, 0.000, 0.407), F at (0.000, 0.000, 0.316), F at (0.000, 0.000, 0.500) and F at (0.000, 0.500, 0.093).

***

(3)
Rb3Mg2F9: optimized geometry, PBE.

The calculation puts the density of states at the Fermi level at 13.94 states/eV per cell. The formation energy from raw total energies comes out at -2.6723 eV/atom. For the total moment, the calculation gives 2.03 Bohr magnetons per cell.

It has space group P-3m1 (No. 164), with a = 5.9032 Å, b = 5.9032 Å, c = 7.8735 Å, α = 90.00°, β = 90.00° and γ = 120.00°. The distinct sites, in fractional coordinates, are Rb at (0.0000, 0.0000, 0.0000), Rb at (0.3333, 0.6667, 0.3648), Mg at (0.3333, 0.6667, 0.8674), F at (0.0000, 0.5000, 0.0000) and F at (0.1856, 0.3711, 0.6990).

***

(4)
RbMgF4: optimized geometry, PBE.

The calculation puts the density of states at the Fermi level at 2.34 states/eV per cell. The formation energy from raw total energies comes out at -2.6278 eV/atom. For the total moment, the calculation gives 1.01 Bohr magnetons per cell.

It has space group P4/mmm (No. 123), with a = 3.938 Å, b = 3.938 Å, c = 6.264 Å, α = 90.00°, β = 90.00° and γ = 90.00°. The distinct sites, in fractional coordinates, are Rb at (0.000, 0.000, 0.000), Mg at (0.500, 0.500, 0.500), F at (0.000, 0.500, 0.500) and F at (0.500, 0.500, 0.169).